# TlCuHgIr

An optimized crystal structure of TlCuHgIr (PBE, OQMD via LeMat-Bulk).

Its space-group type is F-43m. For the excess energy over the best structure of this formula in the dataset, the calculation gives 0.177 eV per atom. As for the total energy: -3.192 eV/atom.

abc: 4.6785 4.6785 4.6785
angles: 60.00 60.00 60.00
Positions (direct):
1 Tl 0.0000 0.0000 0.0000
2 Cu 0.2500 0.2500 0.2500
3 Hg 0.7500 0.7500 0.7500
4 Ir 0.5000 0.5000 0.5000